Record 1
PmPd2Au2: optimized geometry, PBE.

It has space group I4/mmm (No. 139), with a = 3.999 Å, b = 3.999 Å, c = 25.803 Å, α = 90.00°, β = 90.00° and γ = 90.00°. The inequivalent atoms are Pm at (0.000, 0.000, 0.123), Pd at (0.000, 0.000, 0.425), Pd at (0.000, 0.500, 0.250), Au at (0.000, 0.000, 0.323) and Au at (0.000, 0.500, 0.000).

The energy is -4.85 eV/atom. Its spin magnetization is 0.0 μB per formula unit. The formation energy comes out at -0.5081 eV/atom.

---

Record 2
Th4PCS2: optimized geometry, PBE.

It has space group P2/m (No. 10), with a = 6.979 Å, b = 3.974 Å, c = 7.003 Å, α = 90.00°, β = 108.87° and γ = 90.00°. The inequivalent atoms are Th at (0.224, 0.000, 0.222), Th at (0.237, 0.500, 0.765), P at (0.500, 0.000, 0.000), C at (0.000, 0.500, 0.000), S at (0.000, 0.000, 0.500) and S at (0.500, 0.500, 0.500).

The energy is -8.00 eV/atom. Its spin magnetization is 0.0 μB per formula unit. The calculation puts the energy relative to the elements, uncorrected at -11.4 eV per formula unit.

---

Record 3
CrPbAu2: optimized geometry, PBE.

It has space group Cm (No. 8), with a = 9.579 Å, b = 3.908 Å, c = 4.609 Å, α = 90.00°, β = 108.65° and γ = 90.00°. The inequivalent atoms are Cr at (0.000, 0.000, 0.000), Pb at (0.239, 0.000, 0.713), Au at (0.237, 0.500, 0.204) and Au at (0.484, 0.000, 0.452).

The energy is -4.77 eV/atom. Its spin magnetization is 4.2 μB per formula unit. The formation energy comes out at 0.1978 eV/atom.

---

Record 4
LaRh2O6: optimized geometry, PBE.

It has space group P-31m (No. 162), with a = 5.2656 Å, b = 5.2656 Å, c = 5.1369 Å, α = 90.00°, β = 90.00° and γ = 120.00°. The inequivalent atoms are La at (0.0000, 0.0000, 0.0000), Rh at (0.3333, 0.6667, 0.5000) and O at (0.0000, 0.3685, 0.7120).

The energy is -6.94 eV/atom. Its spin magnetization is 2.9 μB per formula unit. The calculation puts the energy relative to the elements, uncorrected at -13.1 eV per formula unit.